# 1
CaSmRh2 | PBE | optimized geometry

Values from the calculation:
The space group is No. 123. The spin magnetization is 0.00 μB/cell. For the density of states at the Fermi level, the calculation gives 0.86 states/eV/cell. For the formation energy from the elements, the calculation gives -0.56 eV/atom.

Unit cell a=3.471 b=3.471 c=6.926 alpha=90.00 beta=90.00 gamma=90.00
Fractional positions:
1 Ca 0.500 0.500 0.500
2 Rh 0.000 0.000 0.762
3 Rh 0.000 0.000 0.238
4 Sm 0.500 0.500 0.000

# 2
CaSmRh | PBE | optimized geometry

Values from the calculation:
The space group is No. 216. The spin magnetization is 0.00 μB/cell. For the density of states at the Fermi level, the calculation gives 0.61 states/eV/cell. Its energy above the most stable polymorph in this dataset is 38 meV per atom. For the formation energy from the elements, the calculation gives -0.42 eV/atom.

Unit cell a=4.884 b=4.884 c=4.884 alpha=60.00 beta=60.00 gamma=60.00
Fractional positions:
1 Ca 0.000 0.000 0.000
2 Rh 0.250 0.250 0.250
3 Sm 0.500 0.500 0.500

# 3
Ca2SmRh | PBE | optimized geometry

Values from the calculation:
The space group is No. 63. The spin magnetization is 0.00 μB/cell. For the density of states at the Fermi level, the calculation gives 5.13 states/eV/cell. Its energy above the most stable polymorph in this dataset is 0 meV per atom. For the formation energy from the elements, the calculation gives -0.38 eV/atom.

Unit cell a=3.960 b=6.615 c=9.592 alpha=90.00 beta=90.00 gamma=107.40
Fractional positions:
1 Ca 0.353 0.705 0.567
2 Ca 0.647 0.295 0.433
3 Ca 0.353 0.705 0.933
4 Ca 0.647 0.295 0.067
5 Sm 0.919 0.837 0.250
6 Sm 0.081 0.163 0.750
7 Rh 0.731 0.461 0.750
8 Rh 0.269 0.539 0.250

# 4
CaSm5Rh4 | PBE | optimized geometry

Values from the calculation:
The space group is No. 71. The spin magnetization is 0.00 μB/cell. For the density of states at the Fermi level, the calculation gives 4.28 states/eV/cell. For the formation energy from the elements, the calculation gives -0.50 eV/atom.

Unit cell a=4.335 b=7.406 c=9.440 alpha=113.13 beta=103.27 gamma=90.00
Fractional positions:
1 Ca 0.500 0.000 0.000
2 Sm 0.836 0.592 0.672
3 Sm 0.836 0.079 0.672
4 Sm 0.164 0.921 0.328
5 Sm 0.500 0.500 0.000
6 Sm 0.164 0.408 0.328
7 Rh 0.297 0.797 0.595
8 Rh 0.000 0.734 0.000
9 Rh 0.703 0.203 0.405
10 Rh 0.000 0.266 0.000

# 5
CaSm3Rh | PBE | optimized geometry

Values from the calculation:
The space group is No. 221. The spin magnetization is 0.00 μB/cell. For the density of states at the Fermi level, the calculation gives 5.89 states/eV/cell. Its energy above the most stable polymorph in this dataset is 41 meV per atom. For the formation energy from the elements, the calculation gives -0.24 eV/atom.

Unit cell a=5.568 b=5.568 c=5.568 alpha=90.00 beta=90.00 gamma=90.00
Fractional positions:
1 Ca 0.500 0.500 0.500
2 Rh 0.000 0.000 0.000
3 Sm 0.000 0.500 0.000
4 Sm 0.000 0.000 0.500
5 Sm 0.500 0.000 0.000

# 6
CaSm4Rh2 | PBE | optimized geometry

Values from the calculation:
The space group is No. 11. The spin magnetization is 0.00 μB/cell. For the density of states at the Fermi level, the calculation gives 15.09 states/eV/cell. For the formation energy from the elements, the calculation gives -0.39 eV/atom.

Unit cell a=6.677 b=8.140 c=7.851 alpha=112.00 beta=90.00 gamma=90.00
Fractional positions:
1 Ca 0.250 0.822 0.991
2 Ca 0.750 0.178 0.009
3 Rh 0.250 0.303 0.990
4 Rh 0.750 0.697 0.010
5 Rh 0.750 0.374 0.414
6 Rh 0.250 0.626 0.586
7 Sm 0.501 0.412 0.747
8 Sm 0.250 0.243 0.319
9 Sm 0.750 0.757 0.681
10 Sm 0.999 0.412 0.747
11 Sm 0.750 0.017 0.368
12 Sm 0.001 0.588 0.253
13 Sm 0.499 0.588 0.253
14 Sm 0.250 0.983 0.632

# 7
CaSmRh2 | PBE | optimized geometry

Values from the calculation:
The space group is No. 225. The spin magnetization is 0.00 μB/cell. For the density of states at the Fermi level, the calculation gives 1.95 states/eV/cell. For the formation energy from the elements, the calculation gives -0.55 eV/atom.

Unit cell a=4.886 b=4.886 c=4.886 alpha=60.00 beta=60.00 gamma=60.00
Fractional positions:
1 Ca 0.750 0.750 0.750
2 Rh 0.000 0.000 0.000
3 Rh 0.500 0.500 0.500
4 Sm 0.250 0.250 0.250

# 8
CaSmRh | PBE | optimized geometry

Values from the calculation:
The space group is No. 156. The spin magnetization is 0.00 μB/cell. For the density of states at the Fermi level, the calculation gives 0.79 states/eV/cell. Its energy above the most stable polymorph in this dataset is 75 meV per atom. For the formation energy from the elements, the calculation gives -0.38 eV/atom.

Unit cell a=4.032 b=4.032 c=6.521 alpha=90.00 beta=90.00 gamma=120.00
Fractional positions:
1 Ca 0.000 0.000 0.087
2 Rh 0.667 0.333 0.345
3 Sm 0.333 0.667 0.568

# 9
CaSm2Rh2 | PBE | optimized geometry

Values from the calculation:
The space group is No. 12. The spin magnetization is 0.00 μB/cell. For the density of states at the Fermi level, the calculation gives 6.78 states/eV/cell. Its energy above the most stable polymorph in this dataset is 52 meV per atom. For the formation energy from the elements, the calculation gives -0.53 eV/atom.

Unit cell a=4.989 b=7.654 c=7.674 alpha=68.33 beta=70.96 gamma=70.99
Fractional positions:
1 Ca 0.750 0.750 0.250
2 Ca 0.250 0.250 0.750
3 Sm 0.412 0.422 0.255
4 Sm 0.912 0.921 0.755
5 Sm 0.088 0.079 0.245
6 Sm 0.588 0.578 0.745
7 Rh 0.342 0.825 0.992
8 Rh 0.842 0.325 0.492
9 Rh 0.658 0.175 0.008
10 Rh 0.158 0.675 0.508

# 10
CaSmRh | PBE | optimized geometry

Values from the calculation:
The space group is No. 63. The spin magnetization is 0.00 μB/cell. For the density of states at the Fermi level, the calculation gives 4.44 states/eV/cell. Its energy above the most stable polymorph in this dataset is 0 meV per atom. For the formation energy from the elements, the calculation gives -0.46 eV/atom.

Unit cell a=6.368 b=3.984 c=12.600 alpha=90.00 beta=90.00 gamma=90.00
Fractional positions:
1 Ca 0.750 0.500 0.250
2 Ca 0.250 0.000 0.750
3 Ca 0.250 0.500 0.250
4 Ca 0.750 0.000 0.750
5 Sm 0.000 0.000 0.472
6 Sm 0.500 0.000 0.028
7 Sm 0.000 0.500 0.972
8 Sm 0.500 0.500 0.528
9 Rh 0.500 0.000 0.381
10 Rh 0.000 0.000 0.119
11 Rh 0.000 0.500 0.619
12 Rh 0.500 0.500 0.881

# 11
CaSmRh | PBE | optimized geometry

Values from the calculation:
The space group is No. 107. The spin magnetization is 0.00 μB/cell. For the density of states at the Fermi level, the calculation gives 1.82 states/eV/cell. Its energy above the most stable polymorph in this dataset is 16 meV per atom. For the formation energy from the elements, the calculation gives -0.44 eV/atom.

Unit cell a=3.498 b=3.498 c=7.072 alpha=104.32 beta=104.32 gamma=90.00
Fractional positions:
1 Ca 0.035 0.035 0.070
2 Rh 0.675 0.675 0.349
3 Sm 0.290 0.290 0.581

# 12
CaSm3Rh | PBE | optimized geometry

Values from the calculation:
The space group is No. 194. The spin magnetization is 2.08 μB/cell. For the density of states at the Fermi level, the calculation gives 11.75 states/eV/cell. Its energy above the most stable polymorph in this dataset is 0 meV per atom. For the formation energy from the elements, the calculation gives -0.28 eV/atom.

Unit cell a=6.146 b=7.805 c=7.805 alpha=120.00 beta=90.00 gamma=90.00
Fractional positions:
1 Ca 0.750 0.667 0.333
2 Ca 0.250 0.333 0.667
3 Sm 0.750 0.651 0.826
4 Sm 0.250 0.826 0.651
5 Sm 0.250 0.349 0.174
6 Sm 0.750 0.174 0.349
7 Sm 0.250 0.826 0.174
8 Sm 0.750 0.174 0.826
9 Rh 0.000 0.000 0.000
10 Rh 0.500 0.000 0.000

# 13
Ca3SmRh8 | PBE | optimized geometry

Values from the calculation:
The space group is No. 160. The spin magnetization is 0.00 μB/cell. For the density of states at the Fermi level, the calculation gives 13.02 states/eV/cell. For the formation energy from the elements, the calculation gives -0.51 eV/atom.

Unit cell a=5.356 b=5.356 c=9.309 alpha=73.28 beta=73.28 gamma=60.00
Fractional positions:
1 Ca 0.375 0.375 0.876
2 Ca 0.002 0.002 0.994
3 Ca 0.498 0.498 0.506
4 Sm 0.875 0.875 0.374
5 Rh 0.937 0.437 0.189
6 Rh 0.439 0.938 0.686
7 Rh 0.437 0.437 0.189
8 Rh 0.938 0.938 0.686
9 Rh 0.187 0.187 0.438
10 Rh 0.688 0.688 0.937
11 Rh 0.437 0.937 0.189
12 Rh 0.938 0.439 0.686

# 14
Ca2SmRh | PBE | optimized geometry

Values from the calculation:
The space group is No. 62. The spin magnetization is 0.00 μB/cell. For the density of states at the Fermi level, the calculation gives 11.85 states/eV/cell. Its energy above the most stable polymorph in this dataset is 13 meV per atom. For the formation energy from the elements, the calculation gives -0.36 eV/atom.

Unit cell a=6.514 b=7.509 c=9.677 alpha=90.00 beta=90.00 gamma=90.00
Fractional positions:
1 Ca 0.163 0.674 0.066
2 Ca 0.337 0.174 0.434
3 Ca 0.837 0.326 0.566
4 Ca 0.663 0.826 0.934
5 Ca 0.837 0.326 0.934
6 Ca 0.663 0.826 0.566
7 Ca 0.163 0.674 0.434
8 Ca 0.337 0.174 0.066
9 Sm 0.644 0.543 0.250
10 Sm 0.856 0.043 0.250
11 Sm 0.356 0.457 0.750
12 Sm 0.144 0.957 0.750
13 Rh 0.022 0.377 0.250
14 Rh 0.478 0.877 0.250
15 Rh 0.978 0.623 0.750
16 Rh 0.522 0.123 0.750

# 15
CaSm5Rh6 | PBE | optimized geometry

Values from the calculation:
The space group is No. 12. The spin magnetization is 0.00 μB/cell. For the density of states at the Fermi level, the calculation gives 6.35 states/eV/cell. For the formation energy from the elements, the calculation gives -0.68 eV/atom.

Unit cell a=4.934 b=8.523 c=8.523 alpha=119.80 beta=106.78 gamma=106.78
Fractional positions:
1 Ca 0.000 0.000 0.000
2 Rh 0.256 0.086 0.426
3 Rh 0.744 0.574 0.914
4 Rh 0.762 0.262 0.262
5 Rh 0.238 0.738 0.738
6 Rh 0.256 0.426 0.086
7 Rh 0.744 0.914 0.574
8 Sm 0.500 0.160 0.840
9 Sm 0.000 0.331 0.669
10 Sm 0.500 0.500 0.500
11 Sm 0.000 0.669 0.331
12 Sm 0.500 0.840 0.160

# 16
Ca2SmRh9 | PBE | optimized geometry

Values from the calculation:
The space group is No. 166. The spin magnetization is 0.00 μB/cell. For the density of states at the Fermi level, the calculation gives 16.55 states/eV/cell. For the formation energy from the elements, the calculation gives -0.37 eV/atom.

Unit cell a=5.298 b=5.298 c=9.279 alpha=73.41 beta=73.41 gamma=60.00
Fractional positions:
1 Ca 0.859 0.859 0.422
2 Ca 0.141 0.141 0.578
3 Sm 0.000 0.000 0.000
4 Rh 0.667 0.667 0.999
5 Rh 0.333 0.333 0.001
6 Rh 0.500 0.500 0.500
7 Rh 0.419 0.419 0.245
8 Rh 0.917 0.419 0.245
9 Rh 0.419 0.917 0.245
10 Rh 0.581 0.581 0.755
11 Rh 0.581 0.083 0.755
12 Rh 0.083 0.581 0.755

# 17
CaSm2Ta2Rh5 | PBE | optimized geometry

Values from the calculation:
The space group is No. 127. The spin magnetization is 0.00 μB/cell. For the density of states at the Fermi level, the calculation gives 15.28 states/eV/cell. For the formation energy from the elements, the calculation gives -0.41 eV/atom.

Unit cell a=3.787 b=10.407 c=10.407 alpha=90.00 beta=90.00 gamma=90.00
Fractional positions:
1 Ca 0.000 0.000 0.000
2 Ca 0.000 0.500 0.500
3 Sm 0.000 0.678 0.178
4 Sm 0.000 0.322 0.822
5 Sm 0.000 0.178 0.322
6 Sm 0.000 0.822 0.678
7 Ta 0.000 0.118 0.618
8 Ta 0.000 0.882 0.382
9 Ta 0.000 0.618 0.882
10 Ta 0.000 0.382 0.118
11 Rh 0.500 0.222 0.067
12 Rh 0.500 0.778 0.933
13 Rh 0.500 0.067 0.778
14 Rh 0.500 0.722 0.433
15 Rh 0.500 0.933 0.222
16 Rh 0.500 0.278 0.567
17 Rh 0.500 0.567 0.722
18 Rh 0.500 0.433 0.278
19 Rh 0.500 0.500 0.000
20 Rh 0.500 0.000 0.500

# 18
CaSmZnRh | PBE | optimized geometry

Values from the calculation:
The space group is No. 38. The spin magnetization is 0.00 μB/cell. For the density of states at the Fermi level, the calculation gives 2.93 states/eV/cell. Its energy above the most stable polymorph in this dataset is 0 meV per atom. For the formation energy from the elements, the calculation gives -0.49 eV/atom.

Unit cell a=4.077 b=4.161 c=5.979 alpha=90.00 beta=109.94 gamma=90.00
Fractional positions:
1 Ca 0.854 0.500 0.708
2 Sm 0.136 0.000 0.272
3 Zn 0.433 0.000 0.867
4 Rh 0.577 0.500 0.153

# 19
CaSmZnRh | PBE | optimized geometry

Values from the calculation:
The space group is No. 216. The spin magnetization is 0.00 μB/cell. For the density of states at the Fermi level, the calculation gives 4.14 states/eV/cell. Its energy above the most stable polymorph in this dataset is 84 meV per atom. For the formation energy from the elements, the calculation gives -0.41 eV/atom.

Unit cell a=5.013 b=5.013 c=5.013 alpha=60.00 beta=60.00 gamma=60.00
Fractional positions:
1 Zn 0.000 0.000 0.000
2 Rh 0.500 0.500 0.500
3 Ca 0.250 0.250 0.250
4 Sm 0.750 0.750 0.750

# 20
Ca2Sn8Rh | PBE | optimized geometry

Values from the calculation:
The space group is No. 123. The spin magnetization is 0.00 μB/cell. For the density of states at the Fermi level, the calculation gives 5.07 states/eV/cell. For the formation energy from the elements, the calculation gives -0.37 eV/atom.

Unit cell a=4.733 b=4.733 c=12.564 alpha=90.00 beta=90.00 gamma=90.00
Fractional positions:
1 Ca 0.000 0.000 0.306
2 Ca 0.000 0.000 0.694
3 Sn 0.000 0.500 0.500
4 Sn 0.500 0.000 0.500
5 Sn 0.500 0.500 0.307
6 Sn 0.500 0.500 0.693
7 Sn 0.000 0.500 0.121
8 Sn 0.500 0.000 0.121
9 Sn 0.000 0.500 0.879
10 Sn 0.500 0.000 0.879
11 Rh 0.000 0.000 0.000